[1]
# BiH3Os

Crystalline BiH3Os at its relaxed geometry (PBE, the Alexandria database).

Structure (CIF):
```
data_BiH3Os
_chemical_formula_sum 'Bi1 H3 Os1'
_cell_length_a 3.7286
_cell_length_b 3.7286
_cell_length_c 3.7286
_cell_angle_alpha 90.00
_cell_angle_beta 90.00
_cell_angle_gamma 90.00
_space_group_name_H-M_alt 'P m -3 m'
_space_group_IT_number 221
_space_group_name_Hall '-P 4 2 3'
loop_
_atom_site_label
_atom_site_type_symbol
_atom_site_fract_x
_atom_site_fract_y
_atom_site_fract_z
Bi1 Bi 0.0000 0.0000 0.0000
H1 H 0.0000 0.5000 0.5000
Os1 Os 0.5000 0.5000 0.5000
```

Summary:
Excess energy over the best structure of this formula in the dataset (eV per atom): 0.000
Mass density (kg/m3): 12886
Raw total energy (eV/atom): -4.573



[2]
# KNiI

Crystalline KNiI at its relaxed geometry (PBE, the Alexandria database).

Structure (CIF):
```
data_KNiI
_chemical_formula_sum 'K2 Ni2 I2'
_cell_length_a 3.9982
_cell_length_b 6.3340
_cell_length_c 8.8758
_cell_angle_alpha 98.62
_cell_angle_beta 102.78
_cell_angle_gamma 107.63
_space_group_name_H-M_alt 'P 1'
_space_group_IT_number 1
loop_
_space_group_symop_operation_xyz
'x,y,z'
loop_
_atom_site_label
_atom_site_type_symbol
_atom_site_fract_x
_atom_site_fract_y
_atom_site_fract_z
K1 K 0.0000 0.0000 0.0000
K2 K 0.4226 0.3436 0.4821
Ni1 Ni 0.0538 0.7769 0.3071
Ni2 Ni 0.6882 0.8821 0.4774
I1 I 0.2638 0.8631 0.6516
I2 I 0.3903 0.6016 0.1470
```

Summary:
Excess energy over the best structure of this formula in the dataset (eV per atom): 0.079
Mass density (kg/m3): 3674
Raw total energy (eV/atom): -3.051



[3]
# TbDyHoHg

Crystalline TbDyHoHg at its relaxed geometry (PBE, the Alexandria database).

Structure (CIF):
```
data_TbDyHoHg
_chemical_formula_sum 'Tb4 Dy4 Ho4 Hg4'
_cell_length_a 7.6305
_cell_length_b 7.6305
_cell_length_c 7.6305
_cell_angle_alpha 90.00
_cell_angle_beta 90.00
_cell_angle_gamma 90.00
_space_group_name_H-M_alt 'F -4 3 m'
_space_group_IT_number 216
_space_group_name_Hall 'F -4 2 3'
loop_
_atom_site_label
_atom_site_type_symbol
_atom_site_fract_x
_atom_site_fract_y
_atom_site_fract_z
Tb1 Tb 0.0000 0.0000 0.0000
Dy1 Dy 0.0000 0.0000 0.5000
Ho1 Ho 0.2500 0.2500 0.2500
Hg1 Hg 0.2500 0.2500 0.7500
```

Summary:
E_form (eV per atom): -0.05
Mass density (kg/m3): 10270
Raw total energy (eV/atom): -3.580



[4]
# Pr2NbNi

Crystalline Pr2NbNi at its relaxed geometry (PBE, the Alexandria database).

Structure (CIF):
```
data_Pr2NbNi
_chemical_formula_sum 'Pr6 Nb3 Ni3'
_cell_length_a 3.3598
_cell_length_b 3.3598
_cell_length_c 30.4730
_cell_angle_alpha 90.00
_cell_angle_beta 90.00
_cell_angle_gamma 120.00
_space_group_name_H-M_alt 'R -3 m'
_space_group_IT_number 166
_space_group_name_Hall '-R 3 2"'
loop_
_atom_site_label
_atom_site_type_symbol
_atom_site_fract_x
_atom_site_fract_y
_atom_site_fract_z
Pr1 Pr 0.0000 0.0000 0.0991
Nb1 Nb 0.0000 0.0000 0.0000
Ni1 Ni 0.0000 0.0000 0.5000
```

Summary:
E_form (eV per atom): 0.65
Mass density (kg/m3): 7248
Raw total energy (eV/atom): -5.701



[5]
# SrBeBC2

Crystalline SrBeBC2 at its relaxed geometry (PBE, the Alexandria database).

Structure (CIF):
```
data_SrBeBC2
_chemical_formula_sum 'Sr1 Be1 B1 C2'
_cell_length_a 3.8825
_cell_length_b 3.8825
_cell_length_c 3.9408
_cell_angle_alpha 90.00
_cell_angle_beta 90.00
_cell_angle_gamma 90.00
_space_group_name_H-M_alt 'P 4/m m m'
_space_group_IT_number 123
_space_group_name_Hall '-P 4 2'
loop_
_atom_site_label
_atom_site_type_symbol
_atom_site_fract_x
_atom_site_fract_y
_atom_site_fract_z
Sr1 Sr 0.0000 0.0000 0.0000
Be1 Be 0.5000 0.5000 0.5000
B1 B 0.5000 0.5000 0.0000
C1 C 0.0000 0.5000 0.5000
```

Summary:
E_form (eV per atom): 1.57
Mass density (kg/m3): 3675
Raw total energy (eV/atom): -4.532



[6]
# ReAu

Crystalline ReAu at its relaxed geometry (PBE, the Alexandria database).

Structure (CIF):
```
data_ReAu
_chemical_formula_sum 'Re8 Au8'
_cell_length_a 10.6029
_cell_length_b 10.6029
_cell_length_c 3.4153
_cell_angle_alpha 90.00
_cell_angle_beta 90.00
_cell_angle_gamma 90.00
_space_group_name_H-M_alt 'I 4/m'
_space_group_IT_number 87
_space_group_name_Hall '-I 4'
loop_
_atom_site_label
_atom_site_type_symbol
_atom_site_fract_x
_atom_site_fract_y
_atom_site_fract_z
Re1 Re 0.1964 0.6986 0.0000
Au1 Au 0.0247 0.1958 0.0000
```

Summary:
Excess energy over the best structure of this formula in the dataset (eV per atom): 0.842
E_form (eV per atom): 0.99
Mass density (kg/m3): 13257
Raw total energy (eV/atom): -6.877



[7]
# SbIrBr2

Crystalline SbIrBr2 at its relaxed geometry (PBE, the Alexandria database).

Structure (CIF):
```
data_SbIrBr2
_chemical_formula_sum 'Sb1 Ir1 Br2'
_cell_length_a 3.8062
_cell_length_b 3.8062
_cell_length_c 8.2667
_cell_angle_alpha 90.00
_cell_angle_beta 90.00
_cell_angle_gamma 90.00
_space_group_name_H-M_alt 'P 4 m m'
_space_group_IT_number 99
loop_
_space_group_symop_operation_xyz
'x,y,z'
'-y,x,z'
'-x,-y,z'
'y,-x,z'
'-x,y,z'
'y,x,z'
'x,-y,z'
'-y,-x,z'
loop_
_atom_site_label
_atom_site_type_symbol
_atom_site_fract_x
_atom_site_fract_y
_atom_site_fract_z
Sb1 Sb 0.0000 0.0000 0.0000
Ir1 Ir 0.5000 0.5000 0.0374
Br1 Br 0.0000 0.0000 0.6905
Br2 Br 0.5000 0.5000 0.3283
```

Summary:
Excess energy over the best structure of this formula in the dataset (eV per atom): 0.339
Mass density (kg/m3): 6569
Raw total energy (eV/atom): -4.035



[8]
# Ca4Br3N2

Crystalline Ca4Br3N2 at its relaxed geometry (PBE, the Alexandria database).

Structure (CIF):
```
data_Ca4Br3N2
_chemical_formula_sum 'Ca8 Br6 N4'
_cell_length_a 14.0402
_cell_length_b 3.6194
_cell_length_c 8.6096
_cell_angle_alpha 90.00
_cell_angle_beta 104.35
_cell_angle_gamma 90.00
_space_group_name_H-M_alt 'C 1 2/m 1'
_space_group_IT_number 12
loop_
_space_group_symop_operation_xyz
'x,y,z'
'-x,-y,-z'
'-x,y,-z'
'x,-y,z'
'x+1/2,y+1/2,z'
'-x+1/2,-y+1/2,-z'
'-x+1/2,y+1/2,-z'
'x+1/2,-y+1/2,z'
loop_
_atom_site_label
_atom_site_type_symbol
_atom_site_fract_x
_atom_site_fract_y
_atom_site_fract_z
Ca1 Ca 0.0957 0.0000 0.2086
Ca2 Ca 0.1806 0.5000 0.6038
Br1 Br 0.0000 0.0000 0.5000
Br2 Br 0.0959 0.5000 0.9039
N1 N 0.1988 0.5000 0.3362
```

Summary:
Mass density (kg/m3): 3354
Raw total energy (eV/atom): -4.601